CrB2I | meta-GGA SCAN | PBEsol geometry

Properties
As for the symmetry: I-42d, No. 122. Its formation energy without anion corrections is 5.4 eV per formula unit.

```
CrB2I
1.0
-0.307 -0.885 -5.038
-1.644 -4.762 0.937
-3.703 4.439 2.051
I Cr B
2 2 4
Cartesian
-3.161 -1.574 0.469
0.000 0.000 0.000
-2.492 0.365 -2.519
-0.975 -2.824 -2.051
-2.499 -3.447 -0.885
-1.790 -1.393 -3.216
-3.128 2.313 1.087
-3.889 0.109 -1.086
```

---

Mn2CrBI | meta-GGA SCAN | PBEsol geometry

Properties
As for the symmetry: P4/mmm, No. 123. Its formation energy without anion corrections is 3.6 eV per formula unit.

```
Mn2CrBI
1.0
3.973 0.000 0.000
0.000 3.973 0.000
0.000 0.000 5.062
I Cr B Mn
1 1 1 2
Cartesian
0.000 0.000 2.531
1.986 1.986 2.531
0.000 0.000 0.000
0.000 1.986 0.000
1.986 0.000 0.000
```

---

CrBI2N | meta-GGA SCAN | PBEsol geometry

Properties
As for the symmetry: P4/mmm, No. 123. Its formation energy without anion corrections is 4.4 eV per formula unit.

```
CrBI2N
1.0
-1.311 1.800 -2.788
-4.931 -1.903 1.091
-0.937 4.254 3.186
I Cr B N
2 1 1 1
Cartesian
-0.469 2.127 1.593
-2.466 -0.951 0.545
0.000 0.000 0.000
-3.590 2.075 0.744
-0.656 0.900 -1.394
```

---

CrBI2O | meta-GGA SCAN | PBEsol geometry

Properties
As for the symmetry: P4/mmm, No. 123. Its formation energy without anion corrections is 0.9 eV per formula unit.

```
CrBI2O
1.0
-1.655 2.528 -0.136
-4.488 -2.854 1.577
1.191 1.064 5.313
I Cr B O
2 1 1 1
Cartesian
0.595 0.532 2.656
-2.244 -1.427 0.789
-2.476 0.369 3.377
0.000 0.000 0.000
-0.828 1.264 -0.068
```

---

CrIn3B | meta-GGA SCAN | PBEsol geometry

Properties
As for the symmetry: Pm-3m, No. 221. The formation energy is 371 kJ/mol of formula units.

```
CrIn3B
1.0
-3.328 0.229 3.351
2.163 -3.463 2.385
2.570 3.212 2.332
Cr B In
1 1 3
Cartesian
0.703 -0.011 4.034
0.000 0.000 0.000
1.082 -1.731 1.192
1.285 1.606 1.166
-1.664 0.115 1.676
```

---

K2CrB | meta-GGA SCAN | PBEsol geometry

Properties
As for the symmetry: I-42d, No. 122. The formation energy is 289 kJ/mol of formula units.

```
K2CrB
1.0
4.057 0.000 0.000
2.029 8.428 0.000
2.029 0.000 8.428
Cr K B
2 4 2
Cartesian
0.000 0.000 0.000
5.071 4.214 4.214
3.550 1.622 5.835
3.550 6.806 2.592
2.536 2.592 1.622
6.593 5.835 6.806
2.029 0.000 0.000
3.043 4.214 4.214
```

---

KMgCr2B | meta-GGA SCAN | PBEsol geometry

Properties
The energy above the most stable polymorph in this dataset comes out at 639 meV per atom. As for the symmetry: P4/mmm, No. 123. The formation energy is 946 kJ/mol of formula units.

```
KMgCr2B
1.0
-4.315 1.255 2.385
2.235 -0.848 4.491
1.738 5.609 0.193
Cr K B Mg
2 1 1 1
Cartesian
1.118 -0.424 2.246
-2.158 0.627 1.192
0.869 2.804 0.097
-0.171 3.008 3.535
0.000 0.000 0.000
```

---

KMgCr2B | meta-GGA SCAN | PBEsol geometry

Properties
The energy above the most stable polymorph in this dataset comes out at 0 meV per atom. As for the symmetry: P4/mmm, No. 123. The formation energy is 638 kJ/mol of formula units.

```
KMgCr2B
1.0
4.397 0.000 0.000
0.000 5.264 0.000
0.000 0.000 5.264
Cr K B Mg
2 1 1 1
Cartesian
0.000 0.000 2.632
0.000 2.632 0.000
2.198 2.632 2.632
2.198 0.000 0.000
0.000 0.000 0.000
```

---

Li3CrB2O6 | meta-GGA SCAN | PBEsol geometry

Properties
The energy above the most stable polymorph in this dataset comes out at 21 meV per atom. As for the symmetry: P-1, No. 2. Its formation energy without anion corrections is -30.2 eV per formula unit.

```
Li3CrB2O6
1.0
-1.449 -4.978 0.381
5.187 -1.620 1.454
-0.593 0.530 7.233
Li Cr B O
6 2 4 12
Cartesian
3.565 -1.899 7.565
-0.421 -4.169 1.502
-0.515 -1.498 1.805
3.660 -4.571 7.262
3.036 -2.865 5.175
0.108 -3.203 3.892
2.520 -1.283 2.270
0.625 -4.786 6.797
0.424 -0.836 4.426
2.721 -5.233 4.641
0.870 -1.826 7.120
2.275 -4.242 1.947
3.700 -1.490 3.797
-0.555 -4.578 5.270
1.979 -1.744 6.301
1.166 -4.325 2.766
1.232 -1.124 0.579
1.913 -4.944 8.488
0.948 -1.475 3.308
2.197 -4.593 5.759
-0.646 -1.438 5.021
3.791 -4.631 4.046
3.044 -3.136 1.752
0.101 -2.932 7.315
```

---

Li3CrB2O6 | meta-GGA SCAN | PBEsol geometry

Properties
The energy above the most stable polymorph in this dataset comes out at 0 meV per atom. As for the symmetry: P2_1/c, No. 14. Its formation energy without anion corrections is -30.4 eV per formula unit.

```
Li3CrB2O6
1.0
-4.240 0.546 -3.920
0.878 -8.610 -2.149
-6.135 1.977 6.912
Li Cr B O
12 4 8 24
Cartesian
-8.606 1.128 3.093
-8.505 -0.109 0.688
-5.600 0.148 -0.421
-3.402 -1.359 -0.886
-3.978 -2.224 1.649
-8.783 -2.850 2.468
-0.714 -3.238 -1.625
-5.519 -3.863 -0.805
-6.096 -4.728 1.730
-3.897 -6.235 1.264
-0.992 -5.978 0.155
-0.891 -7.215 -2.249
-1.275 -1.569 0.978
-3.215 -5.756 -1.798
-6.282 -0.331 2.641
-8.222 -4.518 -0.135
-6.982 1.417 5.160
-3.475 0.372 2.111
-6.670 -2.068 1.053
-5.339 -3.102 3.761
-4.158 -2.985 -2.917
-2.828 -4.019 -0.209
-6.022 -6.459 -1.267
-2.515 -7.504 -4.317
-7.225 0.363 4.296
-7.263 1.101 1.696
-4.550 0.532 2.986
-2.750 -0.807 2.141
-4.316 0.129 -1.872
-5.709 -1.797 3.876
-1.617 -0.439 -0.594
-7.668 -1.505 1.838
-5.542 -1.241 0.993
-2.736 -2.773 0.332
-5.434 -4.063 4.775
-4.788 -2.469 -1.792
-4.063 -2.025 -3.931
-4.709 -3.618 2.635
-6.761 -3.314 0.511
-3.955 -4.846 -0.150
-1.830 -4.582 -0.995
-7.881 -5.648 1.437
-3.788 -4.290 -3.032
-5.181 -6.216 2.715
-6.748 -5.280 -1.298
-4.947 -6.619 -2.143
-2.234 -7.189 -0.852
-2.272 -6.450 -3.453
```

---

Mg3CrB | meta-GGA SCAN | PBEsol geometry

Properties
As for the symmetry: Pm-3m, No. 221. The formation energy is 193 kJ/mol of formula units.

```
Mg3CrB
1.0
4.543 0.000 0.000
0.000 4.543 0.000
0.000 0.000 4.543
Cr Mg B
1 3 1
Cartesian
2.272 2.272 2.272
0.000 2.272 0.000
0.000 0.000 2.272
2.272 0.000 0.000
0.000 0.000 0.000
```

---

MgCr2ReB | meta-GGA SCAN | PBEsol geometry

Properties
As for the symmetry: P4/mmm, No. 123. The formation energy is 297 kJ/mol of formula units.

```
MgCr2ReB
1.0
-1.890 -2.968 -1.782
1.973 0.744 -3.333
2.929 -2.563 1.162
Re Mg B Cr
1 1 1 2
Cartesian
1.506 -2.393 -1.976
1.465 -1.281 0.581
0.000 0.000 0.000
0.987 0.372 -1.667
-0.945 -1.484 -0.891
```

---

MgCrBRh2 | meta-GGA SCAN | PBEsol geometry

Properties
As for the symmetry: P4/mmm, No. 123. The formation energy is 781 kJ/mol of formula units.

```
MgCrBRh2
1.0
-1.343 3.448 -2.165
-3.143 0.572 2.859
2.905 2.788 2.636
Cr Mg B Rh
1 1 1 2
Cartesian
0.000 0.000 0.000
1.453 1.394 1.318
-0.790 3.403 1.665
-1.571 0.286 1.430
-0.672 1.724 -1.083
```

---

MgCrTcB2 | meta-GGA SCAN | PBEsol geometry

Properties
As for the symmetry: P4/mmm, No. 123. The formation energy is 1063 kJ/mol of formula units.

```
MgCrTcB2
1.0
-2.048 0.306 -3.488
-2.331 -3.135 1.094
-2.895 2.833 1.948
Cr Mg B Tc
1 1 2 1
Cartesian
-3.637 0.002 -0.223
0.000 0.000 0.000
-1.166 -1.567 0.547
-1.024 0.153 -1.744
-1.447 1.416 0.974
```

---

MnCr2B2 | meta-GGA SCAN | PBEsol geometry

Properties
As for the symmetry: P4/mbm, No. 127. The formation energy is -215 kJ/mol of formula units.

```
MnCr2B2
1.0
-0.773 -2.681 -0.529
5.148 -1.205 -1.411
1.108 -1.343 5.188
Cr B Mn
4 4 2
Cartesian
1.257 -2.456 2.987
3.999 -3.262 3.069
4.227 -2.773 0.261
1.484 -1.967 0.179
2.952 -1.648 4.042
5.231 -1.893 1.954
3.305 -0.900 -0.265
1.026 -0.655 1.824
0.000 0.000 0.000
3.128 -1.274 1.889
```

---

Mn3CrB | meta-GGA SCAN | PBEsol geometry

Properties
As for the symmetry: Pm-3m, No. 221. The formation energy is -48 kJ/mol of formula units.

```
Mn3CrB
1.0
-2.608 2.511 -1.076
-0.138 -1.607 -3.415
-2.729 -2.319 1.201
Cr B Mn
1 1 3
Cartesian
-2.737 -0.707 -1.645
0.000 0.000 0.000
-0.069 -0.803 -1.708
-1.364 -1.159 0.601
-1.304 1.256 -0.538
```

---

Na2MnCrB | meta-GGA SCAN | PBEsol geometry

Properties
As for the symmetry: P4/mmm, No. 123. The formation energy is 374 kJ/mol of formula units.

```
Na2MnCrB
1.0
-3.368 2.047 -0.003
-0.587 -0.973 -4.879
-2.535 -4.169 1.137
Cr B Mn Na
1 1 1 2
Cartesian
-3.245 -1.548 -1.873
0.000 0.000 0.000
-1.684 1.023 -0.002
-1.268 -2.084 0.568
-0.293 -0.487 -2.440
```

---

MnCrNiB2 | meta-GGA SCAN | PBEsol geometry

Properties
As for the symmetry: P4/mmm, No. 123. The formation energy is 609 kJ/mol of formula units.

```
MnCrNiB2
1.0
-3.436 1.156 -1.169
0.298 -2.227 -3.076
-1.714 -3.038 2.034
Ni B Mn Cr
1 2 1 1
Cartesian
-2.426 -2.055 -1.106
0.149 -1.113 -1.538
-1.718 0.578 -0.585
-0.857 -1.519 1.017
0.000 0.000 0.000
```

---

CrB2Mo | meta-GGA SCAN | PBEsol geometry

Properties
As for the symmetry: Amm2, No. 38. The formation energy is -176 kJ/mol of formula units.

```
CrB2Mo
1.0
2.986 0.000 0.000
0.000 3.026 0.000
0.000 -1.513 4.072
Cr Mo B
1 1 2
Cartesian
1.493 0.000 1.147
0.000 1.513 2.860
0.000 1.513 0.532
1.493 0.000 3.605
```

---

CrB2Mo2 | meta-GGA SCAN | PBEsol geometry

Properties
As for the symmetry: P4/mbm, No. 127. The formation energy is -210 kJ/mol of formula units.

```
CrB2Mo2
1.0
-1.265 2.774 -0.552
-5.266 -2.267 0.677
0.202 1.214 5.640
Cr Mo B
2 4 4
Cartesian
0.000 0.000 0.000
-2.532 -0.527 3.159
-1.427 1.808 3.661
-4.030 0.852 4.825
-4.902 -0.087 2.104
-2.299 0.869 0.940
-1.848 0.201 5.251
-4.535 -1.260 4.068
-3.216 -1.255 1.066
-0.528 0.206 2.249
```

---

CrBS2N | meta-GGA SCAN | PBEsol geometry

Properties
As for the symmetry: P4/mmm, No. 123. Its formation energy without anion corrections is 4.8 eV per formula unit.

```
CrBS2N
1.0
3.438 0.000 0.000
0.000 4.519 0.000
0.000 0.000 4.519
Cr S B N
1 2 1 1
Cartesian
0.000 0.000 0.000
0.000 0.000 2.260
0.000 2.260 0.000
1.719 2.260 2.260
1.719 0.000 0.000
```

---

CrBSN2 | meta-GGA SCAN | PBEsol geometry

Properties
As for the symmetry: P4/mmm, No. 123. Its formation energy without anion corrections is 5.6 eV per formula unit.

```
CrBSN2
1.0
3.507 0.000 0.000
0.000 3.507 0.000
0.000 0.000 4.861
Cr S B N
1 1 1 2
Cartesian
0.000 0.000 0.000
0.000 0.000 2.431
1.754 1.754 2.431
0.000 1.754 0.000
1.754 0.000 0.000
```

---

CrBTe2N | meta-GGA SCAN | PBEsol geometry

Properties
The energy above the most stable polymorph in this dataset comes out at 670 meV per atom. As for the symmetry: P4/mmm, No. 123. Its formation energy without anion corrections is 4.5 eV per formula unit.

```
CrBTe2N
1.0
-1.944 2.166 -1.865
1.014 -2.705 -4.199
-4.090 -2.908 0.886
Cr B Te N
1 1 2 1
Cartesian
0.000 0.000 0.000
-2.510 -1.724 -2.589
-2.045 -1.454 0.443
0.507 -1.353 -2.099
-0.972 1.083 -0.932
```

---

CrBTe2N | meta-GGA SCAN | PBEsol geometry

Properties
The energy above the most stable polymorph in this dataset comes out at 0 meV per atom. As for the symmetry: P4/mmm, No. 123. Its formation energy without anion corrections is 1.1 eV per formula unit.

```
CrBTe2N
1.0
-1.641 1.244 1.924
-4.057 -3.700 -1.070
2.053 -3.393 3.945
Cr B Te N
1 1 2 1
Cartesian
-1.823 -2.924 2.400
0.000 0.000 0.000
1.027 -1.696 1.973
-2.029 -1.850 -0.535
-0.821 0.622 0.962
```

---

Number 1: total DFT energy (no corrections) -1.1868 Ry per atom. Number 2: total DFT energy (no corrections) -1.4026 Ry per atom. Number 3: total DFT energy (no corrections) -1.5308 Ry per atom. Number 4: total DFT energy (no corrections) -1.5379 Ry per atom. Number 5: total DFT energy (no corrections) -1.7952 Ry per atom. Number 6: total DFT energy (no corrections) -0.7253 Ry per atom. Number 7: total DFT energy (no corrections) -0.7011 Ry per atom. Number 8: total DFT energy (no corrections) -0.7481 Ry per atom. Number 9: total DFT energy (no corrections) -0.6612 Ry per atom. Number 10: total DFT energy (no corrections) -0.6628 Ry per atom. Number 11: total DFT energy (no corrections) -0.5694 Ry per atom. Number 12: total DFT energy (no corrections) -1.7226 Ry per atom. Number 13: total DFT energy (no corrections) -1.3265 Ry per atom. Number 14: total DFT energy (no corrections) -0.9152 Ry per atom. Number 15: total DFT energy (no corrections) -1.0599 Ry per atom. Number 16: total DFT energy (no corrections) -1.1917 Ry per atom. Number 17: total DFT energy (no corrections) -0.7147 Ry per atom. Number 18: total DFT energy (no corrections) -0.9019 Ry per atom. Number 19: total DFT energy (no corrections) -1.2853 Ry per atom. Number 20: total DFT energy (no corrections) -1.5463 Ry per atom. Number 21: total DFT energy (no corrections) -0.7281 Ry per atom. Number 22: total DFT energy (no corrections) -0.7117 Ry per atom. Number 23: total DFT energy (no corrections) -1.5452 Ry per atom. Number 24: total DFT energy (no corrections) -1.5944 Ry per atom.